# 1
GGA-PBE ZrSc2Rh2, relaxed; volume = 19.297 A^3/atom; SG = P4/mbm; N(E_F) = 0.87 states/eV per atom; E_tot = -78.69 eV/cell
1.0
7.0993 0.0000 0.0000
0.0000 7.0993 0.0000
0.0000 0.0000 3.8288
Zr Sc Rh
2 4 4
direct
0.0000 0.0000 0.0000 Zr
0.5000 0.5000 0.0000 Zr
0.1647 0.3353 0.5000 Sc
0.3353 0.8353 0.5000 Sc
0.6647 0.1647 0.5000 Sc
0.8353 0.6647 0.5000 Sc
0.1416 0.6416 0.0000 Rh
0.3584 0.1416 0.0000 Rh
0.6416 0.8584 0.0000 Rh
0.8584 0.3584 0.0000 Rh

# 2
GGA-PBE KFe2PdCl8, relaxed; volume = 29.838 A^3/atom; energy relative to the elements, uncorrected = -0.891 eV/atom; SG = C2/m; N(E_F) = 0.02 states/eV per atom; E_tot = -48.69 eV/cell
1.0
6.9131 -3.3774 0.0000
6.9131 3.3774 0.0000
-3.7839 0.0000 7.6677
K Fe Pd Cl
1 2 1 8
direct
0.0000 0.0000 0.0000 K
0.1895 0.1895 0.6599 Fe
0.8105 0.8105 0.3401 Fe
0.5000 0.5000 0.5000 Pd
0.1530 0.6399 0.2878 Cl
0.1731 0.1731 0.3922 Cl
0.3580 0.3580 0.8565 Cl
0.3601 0.8470 0.7122 Cl
0.6399 0.1530 0.2878 Cl
0.6420 0.6420 0.1435 Cl
0.8269 0.8269 0.6078 Cl
0.8470 0.3601 0.7122 Cl

> Which value of volume does entry 1 give?

19.297 A^3/atom

> Which value of volume does entry 2 give?

29.838 A^3/atom

> Which value of N(E_F) does entry 1 give?

0.87 states/eV per atom